The following is a GGA-PBE calculation of a relaxed structure of LuCdPt, from the Open Quantum Materials Database.

Cell lengths 4.6458, 4.6458, 4.6458 Å; angles 60.00, 60.00, 60.00 degrees
Last column: nearest neighbours and their distance in Å.
Fractional coordinates of all 3 atoms:
Lu1 0.7500 0.7500 0.7500  4 Pt 2.84
Cd1 0.2500 0.2500 0.2500  4 Pt 2.84
Pt1 0.0000 0.0000 0.0000  4 Lu 2.84, 4 Cd 2.84

The size of the total moment comes out at 0.001 μB/cell. The calculation puts the energy of formation at -0.802 eV/atom. For the energy, the calculation gives -4.63 eV/atom.